DFT (PBE-GGA) results for a relaxed Cs2Zn2AgH6 crystal.

Lattice parameters (Å, degrees): 5.6387 6.4307 6.4443 109.66 90.00 116.00
Element x y z (fractional)
1 Cs 0.7113 0.4225 0.1714
2 Cs 0.2887 0.5775 0.8286
3 Zn 0.9570 0.9141 0.7787
4 Zn 0.0430 0.0859 0.2213
5 Ag 0.5000 0.0000 0.5000
6 H 0.8034 0.6067 0.6746
7 H 0.2410 0.9609 0.2661
8 H 0.2800 0.0391 0.7339
9 H 0.7590 0.0391 0.7339
10 H 0.7200 0.9609 0.2661
11 H 0.1966 0.3933 0.3254

Results
- space-group type = C2/m, No. 12
- final energy (Ry/atom) = -0.18323